Record 1
This record from Alexandria describes an optimized crystal structure of SrCdPS2. The functional is PBE.

Computed properties:
For the total energy, the calculation gives -2.704 eV per atom. The value obtained for the energy relative to the elements, uncorrected is 0.548 eV/atom. The calculation puts the spin magnetization at 0.6817 μB per atom. As for the crystal system: tetragonal.

Unit cell a=5.5595 b=5.5595 c=5.9034 alpha=90.00 beta=90.00 gamma=90.00
Closest atoms and distances in Å follow each position.
Fractional positions:
Cd (0.5000, 0.5000, 0.5000)  4 P 3.93, 8 S 4.05
S (0.0000, 0.5000, 0.0000)  2 Sr 2.78
S (0.5000, 0.0000, 0.0000)  2 Sr 2.78
P (0.0000, 0.0000, 0.5000)  2 Sr 2.95
Sr (0.0000, 0.0000, 0.0000)  4 S 2.78, 2 P 2.95

---

Record 2
This record from Alexandria describes an optimized crystal structure of TaCdPS2. The functional is PBE.

Computed properties:
For the total energy, the calculation gives -3.907 eV per atom. The value obtained for the energy relative to the elements, uncorrected is 1.379 eV/atom. The calculation puts the spin magnetization at 0.0000 μB per atom. As for the crystal system: tetragonal.

Unit cell a=4.7710 b=4.7710 c=4.8249 alpha=90.00 beta=90.00 gamma=90.00
Closest atoms and distances in Å follow each position.
Fractional positions:
S (0.5000, 0.0000, 0.0000)  2 Cd 2.39
S (0.0000, 0.5000, 0.0000)  2 Cd 2.39
P (0.0000, 0.0000, 0.5000)  2 Cd 2.41
Ta (0.5000, 0.5000, 0.5000)  4 P 3.37, 8 S 3.39
Cd (0.0000, 0.0000, 0.0000)  4 S 2.39, 2 P 2.41

---

Record 3
This record from Alexandria describes an optimized crystal structure of TaCdPS2. The functional is PBE.

Computed properties:
For the total energy, the calculation gives -5.405 eV per atom. The value obtained for the energy relative to the elements, uncorrected is -0.119 eV/atom. The calculation puts the spin magnetization at 0.0000 μB per atom. As for the crystal system: tetragonal.

Unit cell a=4.7396 b=4.7396 c=5.0332 alpha=90.00 beta=90.00 gamma=90.00
Closest atoms and distances in Å follow each position.
Fractional positions:
P (0.0000, 0.0000, 0.5000)  2 Ta 2.52
S (0.0000, 0.5000, 0.0000)  2 Ta 2.37
S (0.5000, 0.0000, 0.0000)  2 Ta 2.37
Cd (0.5000, 0.5000, 0.5000)  4 P 3.35, 8 S 3.46
Ta (0.0000, 0.0000, 0.0000)  4 S 2.37, 2 P 2.52

---

Record 4
This record from Alexandria describes an optimized crystal structure of CdTcPS2. The functional is PBE.

Computed properties:
For the total energy, the calculation gives -4.683 eV per atom. The value obtained for the energy relative to the elements, uncorrected is 0.306 eV/atom. The calculation puts the spin magnetization at 0.0000 μB per atom. As for the crystal system: tetragonal.

Unit cell a=4.7303 b=4.7303 c=4.5991 alpha=90.00 beta=90.00 gamma=90.00
Closest atoms and distances in Å follow each position.
Fractional positions:
Tc (0.0000, 0.0000, 0.0000)  2 P 2.30, 4 S 2.37
Cd (0.5000, 0.5000, 0.5000)  8 S 3.30, 4 P 3.34
S (0.0000, 0.5000, 0.0000)  2 Tc 2.37
S (0.5000, 0.0000, 0.0000)  2 Tc 2.37
P (0.0000, 0.0000, 0.5000)  2 Tc 2.30

---

Record 5
This record from Alexandria describes an optimized crystal structure of CdTcPS2. The functional is PBE.

Computed properties:
For the total energy, the calculation gives -3.584 eV per atom. The value obtained for the energy relative to the elements, uncorrected is 1.405 eV/atom. The calculation puts the spin magnetization at 0.6359 μB per atom. As for the crystal system: tetragonal.

Unit cell a=4.9565 b=4.9565 c=4.9026 alpha=90.00 beta=90.00 gamma=90.00
Closest atoms and distances in Å follow each position.
Fractional positions:
S (0.0000, 0.5000, 0.0000)  2 Cd 2.48
S (0.5000, 0.0000, 0.0000)  2 Cd 2.48
Tc (0.5000, 0.5000, 0.5000)  8 S 3.49, 4 P 3.50
Cd (0.0000, 0.0000, 0.0000)  2 P 2.45, 4 S 2.48
P (0.0000, 0.0000, 0.5000)  2 Cd 2.45

---

Record 6
This record from Alexandria describes an optimized crystal structure of CdTeP2S. The functional is PBE.

Computed properties:
For the total energy, the calculation gives -2.832 eV per atom. The value obtained for the energy relative to the elements, uncorrected is 0.968 eV/atom. The calculation puts the spin magnetization at 0.0738 μB per atom. As for the crystal system: tetragonal.

Unit cell a=5.1054 b=5.1054 c=5.0554 alpha=90.00 beta=90.00 gamma=90.00
Closest atoms and distances in Å follow each position.
Fractional positions:
S (0.0000, 0.0000, 0.5000)  2 Te 2.53
P (0.5000, 0.0000, 0.0000)  2 Te 2.55
P (0.0000, 0.5000, 0.0000)  2 Te 2.55
Te (0.0000, 0.0000, 0.0000)  2 S 2.53, 4 P 2.55
Cd (0.5000, 0.5000, 0.5000)  8 P 3.59, 4 S 3.61

---

Record 7
This record from Alexandria describes an optimized crystal structure of TiCdPS2. The functional is PBE.

Computed properties:
For the total energy, the calculation gives -4.695 eV per atom. The value obtained for the energy relative to the elements, uncorrected is -0.200 eV/atom. The calculation puts the spin magnetization at 0.0000 μB per atom. As for the crystal system: tetragonal.

Unit cell a=4.6702 b=4.6702 c=4.8842 alpha=90.00 beta=90.00 gamma=90.00
Closest atoms and distances in Å follow each position.
Fractional positions:
S (0.0000, 0.5000, 0.0000)  2 Ti 2.34
S (0.5000, 0.0000, 0.0000)  2 Ti 2.34
Ti (0.0000, 0.0000, 0.0000)  4 S 2.34, 2 P 2.44
P (0.0000, 0.0000, 0.5000)  2 Ti 2.44
Cd (0.5000, 0.5000, 0.5000)  4 P 3.30, 8 S 3.38

---

Record 8
This record from Alexandria describes an optimized crystal structure of TiCdP2S. The functional is PBE.

Computed properties:
For the total energy, the calculation gives -4.708 eV per atom. The value obtained for the energy relative to the elements, uncorrected is 0.043 eV/atom. The calculation puts the spin magnetization at 0.0000 μB per atom. As for the crystal system: tetragonal.

Unit cell a=4.7896 b=4.7896 c=4.6304 alpha=90.00 beta=90.00 gamma=90.00
Closest atoms and distances in Å follow each position.
Fractional positions:
Ti (0.0000, 0.0000, 0.0000)  2 S 2.32, 4 P 2.39
S (0.0000, 0.0000, 0.5000)  2 Ti 2.32
Cd (0.5000, 0.5000, 0.5000)  8 P 3.33, 4 S 3.39
P (0.5000, 0.0000, 0.0000)  2 Ti 2.39
P (0.0000, 0.5000, 0.0000)  2 Ti 2.39

---

Record 9
This record from Alexandria describes an optimized crystal structure of TiCdPS2. The functional is PBE.

Computed properties:
For the total energy, the calculation gives -3.615 eV per atom. The value obtained for the energy relative to the elements, uncorrected is 0.880 eV/atom. The calculation puts the spin magnetization at 0.0128 μB per atom. As for the crystal system: tetragonal.

Unit cell a=4.8797 b=4.8797 c=4.8662 alpha=90.00 beta=90.00 gamma=90.00
Closest atoms and distances in Å follow each position.
Fractional positions:
S (0.5000, 0.0000, 0.0000)  2 Cd 2.44
S (0.0000, 0.5000, 0.0000)  2 Cd 2.44
Ti (0.5000, 0.5000, 0.5000)  8 S 3.45, 4 P 3.45
Cd (0.0000, 0.0000, 0.0000)  2 P 2.43, 4 S 2.44
P (0.0000, 0.0000, 0.5000)  2 Cd 2.43

---

Record 10
This record from Alexandria describes an optimized crystal structure of TiCdP2S. The functional is PBE.

Computed properties:
For the total energy, the calculation gives -3.660 eV per atom. The value obtained for the energy relative to the elements, uncorrected is 1.091 eV/atom. The calculation puts the spin magnetization at 0.0039 μB per atom. As for the crystal system: tetragonal.

Unit cell a=4.8457 b=4.8457 c=4.8866 alpha=90.00 beta=90.00 gamma=90.00
Closest atoms and distances in Å follow each position.
Fractional positions:
P (0.5000, 0.0000, 0.0000)  2 Cd 2.42
P (0.0000, 0.5000, 0.0000)  2 Cd 2.42
Cd (0.0000, 0.0000, 0.0000)  4 P 2.42, 2 S 2.44
S (0.0000, 0.0000, 0.5000)  2 Cd 2.44
Ti (0.5000, 0.5000, 0.5000)  4 S 3.43, 8 P 3.44

---

Record 11
This record from Alexandria describes an optimized crystal structure of TlCdP2S. The functional is PBE.

Computed properties:
For the total energy, the calculation gives -2.809 eV per atom. The value obtained for the energy relative to the elements, uncorrected is 0.837 eV/atom. The calculation puts the spin magnetization at 0.3340 μB per atom. As for the crystal system: tetragonal.

Unit cell a=5.0667 b=5.0667 c=5.2127 alpha=90.00 beta=90.00 gamma=90.00
Closest atoms and distances in Å follow each position.
Fractional positions:
P (0.0000, 0.5000, 0.0000)  2 Cd 2.53
P (0.5000, 0.0000, 0.0000)  2 Cd 2.53
Tl (0.5000, 0.5000, 0.5000)  4 S 3.58, 8 P 3.63
Cd (0.0000, 0.0000, 0.0000)  4 P 2.53, 2 S 2.61
S (0.0000, 0.0000, 0.5000)  2 Cd 2.61

---

Record 12
This record from Alexandria describes an optimized crystal structure of Tl2CdPS4. The functional is PBE.

Computed properties:
For the total energy, the calculation gives -3.709 eV per atom. The value obtained for the energy relative to the elements, uncorrected is -0.263 eV/atom. The calculation puts the spin magnetization at 0.0000 μB per atom. As for the crystal system: orthorhombic.

Unit cell a=6.2476 b=6.8035 c=12.5285 alpha=83.43 beta=75.56 gamma=62.67
Closest atoms and distances in Å follow each position.
Fractional positions:
P (0.2500, 0.5000, 0.5000)  4 S 2.08
P (0.5000, 0.0000, 0.0000)  4 S 2.08
S (0.2529, 0.2045, 0.9044)  1 P 2.08
S (0.4971, 0.2955, 0.5956)  1 P 2.08
S (0.8428, 0.7955, 0.9044)  1 P 2.08
S (0.3617, 0.7955, 0.0956)  1 P 2.08
S (0.5426, 0.2045, 0.0956)  1 P 2.08
S (0.9072, 0.7045, 0.5956)  1 P 2.08
S (0.3883, 0.7045, 0.4044)  1 P 2.08
S (0.2074, 0.2955, 0.4044)  1 P 2.08
Cd (0.0000, 0.0000, 0.0000)  4 S 2.56
Cd (0.7500, 0.5000, 0.5000)  4 S 2.56
Tl (0.1472, 0.0000, 0.7056)  4 S 3.32-3.55, 2 Tl 3.57, 1 Cd 3.57
Tl (0.6028, 0.5000, 0.7944)  4 S 3.32-3.55, 2 Tl 3.57, 1 Cd 3.57
Tl (0.8972, 0.5000, 0.2056)  4 S 3.32-3.55, 2 Tl 3.57, 1 Cd 3.57
Tl (0.8528, 0.0000, 0.2944)  4 S 3.32-3.55, 2 Tl 3.57, 1 Cd 3.57